Entry from Alexandria via LeMat-Bulk: crystalline MoIClO2 at its relaxed geometry (PBE+U).

a b c (Å): 3.987 3.987 6.010
angles (deg): 90.00 90.00 90.00
Site moments in Bohr magnetons follow the coordinates.
Atoms (fractional coordinates):
O 0.000 0.500 0.000  -0.13
O 0.500 0.000 0.000  -0.13
Mo 0.000 0.000 0.000  1.78
I 0.000 0.000 0.500  -0.08
Cl 0.500 0.500 0.500  -0.03

Output
calculated density	5.0	g cm⁻³
total magnetic moment	1.47	μB/f.u.
excess energy over the best structure of this formula in the dataset	0.000	eV per atom